This record from Alexandria describes K3U2Se9 after structural relaxation. The functional is PBE.

Calculated values
Crystal system = monoclinic
Formation energy (no corrections) = -949 meV per atom
Final energy = -5.04 eV per atom

abc: 9.7088 9.8136 9.7087
angles: 95.73 97.37 95.72
Site moments in Bohr magnetons follow the coordinates.
Fractional positions:
K  0.4813  0.6942  0.0216  0.00
K  0.1733  0.9980  0.5329  0.00
K  0.9964  0.5574  0.1936  0.00
K  0.0329  0.4979  0.6733  0.00
K  0.6934  0.0572  0.4962  0.00
K  0.5217  0.1943  0.9814  0.00
U  0.1454  0.1642  0.1280  1.77
U  0.6280  0.6642  0.6455  1.77
U  0.8905  0.8863  0.8964  1.71
U  0.3964  0.3863  0.3905  1.71
Se  0.7570  0.9394  0.1698  -0.03
Se  0.9969  0.9028  0.1983  -0.04
Se  0.2924  0.4097  0.1021  -0.08
Se  0.5169  0.6618  0.3588  -0.05
Se  0.6020  0.9096  0.7925  -0.08
Se  0.8815  0.7969  0.6042  -0.07
Se  0.3304  0.6923  0.5003  -0.05
Se  0.6701  0.4392  0.2571  -0.03
Se  0.8588  0.1618  0.0166  -0.05
Se  0.1498  0.7311  0.9458  -0.03
Se  0.3912  0.4630  0.6824  -0.05
Se  0.3902  0.1032  0.2724  -0.07
Se  0.6982  0.4025  0.4970  -0.04
Se  0.1041  0.2971  0.3814  -0.07
Se  0.4458  0.2313  0.6500  -0.03
Se  0.7725  0.6032  0.8902  -0.07
Se  0.0005  0.1923  0.8303  -0.05
Se  0.1824  0.9628  0.8913  -0.05